1.
Crystalline Ca4MgAg at its relaxed geometry, computed with GGA-PBE.

Cell lengths 7.596, 7.598, 7.712 Å; angles 90.00, 90.05, 90.00 degrees
Fractional coordinates of all 12 atoms:
1 Ca 0.250 0.000 0.236
2 Ca 0.250 0.000 0.764
3 Ca 0.250 0.500 0.236
4 Ca 0.250 0.500 0.764
5 Ca 0.750 0.000 0.236
6 Ca 0.750 0.000 0.764
7 Ca 0.750 0.500 0.236
8 Ca 0.750 0.500 0.764
9 Mg 0.000 0.251 0.500
10 Mg 0.500 0.751 0.500
11 Ag 0.000 0.750 0.000
12 Ag 0.500 0.250 0.000

Results
- ΔE to the lowest computed polymorph: 159 meV per atom
- Symmetry: C2, No. 5
- VASP energy: -0.1508 Ry/atom



2.
Crystalline SiSn at its relaxed geometry, computed with GGA-PBE.

Cell lengths 7.759, 7.781, 8.734 Å; angles 90.00, 90.00, 90.00 degrees
Fractional coordinates of all 16 atoms:
1 Si 0.138 0.064 0.231
2 Si 0.152 0.596 0.963
3 Si 0.348 0.404 0.463
4 Si 0.362 0.936 0.731
5 Si 0.638 0.436 0.769
6 Si 0.652 0.904 0.037
7 Si 0.848 0.096 0.537
8 Si 0.862 0.564 0.269
9 Sn 0.155 0.407 0.213
10 Sn 0.192 0.110 0.526
11 Sn 0.308 0.890 0.026
12 Sn 0.345 0.593 0.713
13 Sn 0.655 0.093 0.787
14 Sn 0.692 0.390 0.474
15 Sn 0.808 0.610 0.974
16 Sn 0.845 0.907 0.287

Results
- ΔE_f (raw): 0.73 eV per formula unit
- Symmetry: P2_12_12_1, No. 19
- VASP energy: -0.3197 Ry/atom